Arrangement A

Computed, not measured: a relaxed ErThHgIr crystal at the PBE-GGA level of DFT.

a = 5.1322 Å, b = 5.1322 Å, c = 5.1322 Å
α = 60.00°, β = 60.00°, γ = 60.00°
Atoms (fractional coordinates):
1 Er 0.2500 0.2500 0.2500
2 Ir 0.0000 0.0000 0.0000
3 Th 0.7500 0.7500 0.7500
4 Hg 0.5000 0.5000 0.5000

=====

Arrangement B

Computed, not measured: a relaxed ErThHgIr crystal at the PBE-GGA level of DFT.

a = 4.1345 Å, b = 4.1327 Å, c = 7.8036 Å
α = 90.00°, β = 105.36°, γ = 119.98°
Atoms (fractional coordinates):
1 Hg 0.9780 0.3870 0.3805
2 Er 0.5005 0.1482 0.6635
3 Th 0.1003 0.9481 0.0642
4 Ir 0.2990 0.5475 0.8614

=====

Q: Which of them is the least stable? A: arrangement A.

=====

Arrangement A

Computed, not measured: a relaxed LaEr2Hg2 crystal at the PBE-GGA level of DFT.

a = 5.0238 Å, b = 5.1188 Å, c = 11.6975 Å
α = 93.25°, β = 90.00°, γ = 90.00°
Atoms (fractional coordinates):
1 Hg 0.7500 0.6801 0.9968
2 Hg 0.2500 0.3199 0.0032
3 Hg 0.7500 0.2333 0.3667
4 Hg 0.2500 0.7667 0.6333
5 Er 0.2500 0.8091 0.8756
6 Er 0.2500 0.2500 0.5029
7 Er 0.7500 0.1909 0.1244
8 Er 0.7500 0.7500 0.4971
9 La 0.7500 0.2838 0.7509
10 La 0.2500 0.7162 0.2491

=====

Arrangement B

Computed, not measured: a relaxed LaEr2Hg2 crystal at the PBE-GGA level of DFT.

a = 3.7372 Å, b = 5.4335 Å, c = 13.9403 Å
α = 90.00°, β = 97.69°, γ = 90.00°
Atoms (fractional coordinates):
1 Er 0.7640 0.2500 0.5276
2 Er 0.9515 0.2500 0.9037
3 Er 0.0485 0.7500 0.0963
4 Er 0.2360 0.7500 0.4724
5 Hg 0.6447 0.7500 0.2883
6 Hg 0.5428 0.2500 0.0868
7 Hg 0.3553 0.2500 0.7117
8 Hg 0.4572 0.7500 0.9132
9 La 0.1473 0.2500 0.2919
10 La 0.8527 0.7500 0.7081

=====

Q: Which of them is the least stable? A: arrangement A.

=====

Arrangement A

Computed, not measured: a relaxed La2ErHg4 crystal at the PBE-GGA level of DFT.

a = 5.0689 Å, b = 5.0689 Å, c = 10.1118 Å
α = 75.48°, β = 75.48°, γ = 60.00°
Atoms (fractional coordinates):
1 La 0.7545 0.7545 0.7364
2 La 0.2455 0.2455 0.2636
3 Hg 0.6341 0.6341 0.0977
4 Hg 0.1344 0.1344 0.5968
5 Hg 0.3659 0.3659 0.9023
6 Hg 0.8656 0.8656 0.4032
7 Er 0.0000 0.0000 0.0000

=====

Arrangement B

Computed, not measured: a relaxed La2ErHg4 crystal at the PBE-GGA level of DFT.

a = 5.6038 Å, b = 5.6038 Å, c = 8.8975 Å
α = 108.36°, β = 108.36°, γ = 90.00°
Atoms (fractional coordinates):
1 Hg 0.5000 0.0000 0.0000
2 Hg 0.8130 0.8130 0.6259
3 Hg 0.1870 0.1870 0.3741
4 Hg 0.0000 0.5000 0.0000
5 La 0.3880 0.3880 0.7760
6 La 0.6120 0.6120 0.2240
7 Er 0.0000 0.0000 0.0000

=====

Q: Which of them is the least stable? A: arrangement B.